The following is a DFT calculation (PBE with a Hubbard U) of a relaxed CsMn2F8 crystal.

Cell: 5.837 6.254 6.254 Å, 127.59 89.08 89.08°
Positions (direct):
F (0.698, 0.616, 0.616)
F (0.625, 0.278, 0.068)
F (0.841, 0.720, 0.299)
F (0.425, 0.575, 0.985)
F (0.841, 0.299, 0.720)
F (0.425, 0.985, 0.575)
F (0.324, 0.474, 0.474)
F (0.625, 0.068, 0.278)
Mn (0.560, 0.625, 0.334)
Mn (0.560, 0.334, 0.625)
Cs (0.076, 0.991, 0.991)

total energy	-5.07	eV/atom
density of states at the Fermi level	0.80	states/eV per cell
size of the total moment	7.000	μB per cell